No. 1
# Mn2ZnCdBr

An optimized crystal structure of Mn2ZnCdBr (PBEsol, the Alexandria database).

Lattice parameters (Å, degrees): 4.5360 4.5360 5.1155 90.00 90.00 90.00
With the nearest neighbours (Å) after each atom.
Positions (direct):
Zn (0.0000, 0.0000, 0.5000)  2 Br 2.56
Mn (0.0000, 0.5000, 0.0000)  2 Br 2.27
Mn (0.5000, 0.0000, 0.0000)  2 Br 2.27
Br (0.0000, 0.0000, 0.0000)  4 Mn 2.27
Cd (0.5000, 0.5000, 0.5000)  4 Zn 3.21, 8 Mn 3.42

Summary:
E = -19.139 eV per cell



No. 2
# CdMoBr2

An optimized crystal structure of CdMoBr2 (PBEsol, the Alexandria database).

Lattice parameters (Å, degrees): 3.3041 4.7731 5.6973 114.32 90.00 90.00
With the nearest neighbours (Å) after each atom.
Positions (direct):
Mo (0.0000, 0.5000, 0.5000)  6 Br 2.87-2.90
Br (0.0000, 0.0000, 0.0000)  2 Mo 2.87, 4 Cd 2.90
Br (0.5000, 0.0000, 0.5000)  2 Cd 2.87, 4 Mo 2.90
Cd (0.5000, 0.5000, 0.0000)  6 Br 2.87-2.90

Summary:
relative energy among the computed polymorphs = 0.567 eV per atom



No. 3
# CdMoBr2

An optimized crystal structure of CdMoBr2 (PBEsol, the Alexandria database).

Lattice parameters (Å, degrees): 3.3060 3.3060 9.1734 79.62 79.62 60.00
With the nearest neighbours (Å) after each atom.
Positions (direct):
Mo (0.2539, 0.2539, 0.2383)  3 Br 2.51
Br (0.9810, 0.9810, 0.0569)  3 Mo 2.51
Br (0.7608, 0.7608, 0.7177)  3 Cd 2.81
Cd (0.5043, 0.5043, 0.4871)  3 Br 2.81, 3 Mo 2.94

Summary:
relative energy among the computed polymorphs = 0.000 eV per atom



No. 4
# CdMoBr2

An optimized crystal structure of CdMoBr2 (PBEsol, the Alexandria database).

Lattice parameters (Å, degrees): 5.0450 5.0450 5.0450 60.00 60.00 60.00
With the nearest neighbours (Å) after each atom.
Positions (direct):
Mo (0.2500, 0.2500, 0.2500)  4 Br 3.09, 4 Cd 3.09
Br (0.0000, 0.0000, 0.0000)  4 Br 3.09, 4 Mo 3.09
Br (0.7500, 0.7500, 0.7500)  4 Cd 3.09, 4 Br 3.09
Cd (0.5000, 0.5000, 0.5000)  4 Mo 3.09, 4 Br 3.09

Summary:
relative energy among the computed polymorphs = 0.800 eV per atom



No. 5
# CdMo2Br

An optimized crystal structure of CdMo2Br (PBEsol, the Alexandria database).

Lattice parameters (Å, degrees): 2.9586 4.7525 4.7525 90.00 90.00 90.00
With the nearest neighbours (Å) after each atom.
Positions (direct):
Mo (0.0000, 0.0000, 0.5000)  4 Br 2.80, 4 Cd 2.80, 2 Mo 2.96
Mo (0.0000, 0.5000, 0.0000)  4 Br 2.80, 4 Cd 2.80, 2 Mo 2.96
Br (0.5000, 0.5000, 0.5000)  8 Mo 2.80, 2 Br 2.96
Cd (0.5000, 0.0000, 0.0000)  8 Mo 2.80, 2 Cd 2.96

Summary:
relative energy among the computed polymorphs = 0.646 eV per atom



No. 6
# CdMo2Br

An optimized crystal structure of CdMo2Br (PBEsol, the Alexandria database).

Lattice parameters (Å, degrees): 4.5366 4.5366 4.5366 60.00 60.00 60.00
With the nearest neighbours (Å) after each atom.
Positions (direct):
Mo (0.2500, 0.2500, 0.2500)  4 Cd 2.78, 4 Br 2.78
Mo (0.7500, 0.7500, 0.7500)  4 Cd 2.78, 4 Br 2.78
Br (0.0000, 0.0000, 0.0000)  8 Mo 2.78
Cd (0.5000, 0.5000, 0.5000)  8 Mo 2.78

Summary:
relative energy among the computed polymorphs = 0.719 eV per atom



No. 7
# CdMoBr

An optimized crystal structure of CdMoBr (PBEsol, the Alexandria database).

Lattice parameters (Å, degrees): 4.8520 4.8520 4.8520 60.00 60.00 60.00
With the nearest neighbours (Å) after each atom.
Positions (direct):
Mo (0.0000, 0.0000, 0.0000)  4 Cd 2.97
Br (0.5000, 0.5000, 0.5000)  4 Cd 2.97
Cd (0.2500, 0.2500, 0.2500)  4 Br 2.97, 4 Mo 2.97

Summary:
relative energy among the computed polymorphs = 1.042 eV per atom



No. 8
# CdMo2Br

An optimized crystal structure of CdMo2Br (PBEsol, the Alexandria database).

Lattice parameters (Å, degrees): 3.8891 3.8891 5.4479 110.91 110.91 90.00
With the nearest neighbours (Å) after each atom.
Positions (direct):
Mo (0.7500, 0.2500, 0.5000)  4 Mo 2.75, 4 Cd 3.05, 4 Br 3.05
Mo (0.2500, 0.7500, 0.5000)  4 Mo 2.75, 4 Cd 3.05, 4 Br 3.05
Br (0.5000, 0.5000, 0.0000)  4 Cd 2.75, 8 Mo 3.05
Cd (0.0000, 0.0000, 0.0000)  4 Br 2.75, 8 Mo 3.05

Summary:
relative energy among the computed polymorphs = 0.758 eV per atom



no.,calculated volume (Å³ per atom)
1,21.1
2,20.5
3,21.2
4,22.7
5,16.7
6,16.5
7,26.9
8,17.8